# 1
Compound: MnPb2Cl
Source: the Alexandria database
Functional: PBE
Structure: optimized geometry

Results
- space-group type = No. 123

Cell: 3.473 3.473 8.173 Å, 90.00 90.00 90.00°
Atoms (fractional coordinates):
Mn 0.000 0.000 0.000
Pb 0.500 0.500 0.225
Pb 0.500 0.500 0.775
Cl 0.000 0.000 0.500

=====

# 2
Compound: MnPbCl6
Source: the Alexandria database
Functional: PBE
Structure: optimized geometry

Results
- space-group type = No. 148

Cell: 6.960 6.960 6.960 Å, 54.97 54.97 54.97°
Atoms (fractional coordinates):
Mn 0.000 0.000 0.000
Pb 0.500 0.500 0.500
Cl 0.042 0.381 0.799
Cl 0.201 0.958 0.619
Cl 0.381 0.799 0.042
Cl 0.619 0.201 0.958
Cl 0.799 0.042 0.381
Cl 0.958 0.619 0.201

=====

# 3
Compound: MnPb2Cl
Source: the Alexandria database
Functional: PBE
Structure: optimized geometry

Results
- space-group type = No. 65

Cell: 5.497 5.497 3.270 Å, 90.00 90.00 90.06°
Atoms (fractional coordinates):
Mn 0.000 0.000 0.000
Pb 0.000 0.500 0.500
Pb 0.500 0.000 0.500
Cl 0.500 0.500 0.000

=====

# 4
Compound: MnPb2Cl
Source: the Alexandria database
Functional: PBE
Structure: optimized geometry

Results
- space-group type = No. 12

Cell: 5.614 5.614 3.313 Å, 100.22 100.22 89.62°
Atoms (fractional coordinates):
Mn 0.000 0.000 0.000
Pb 0.000 0.500 0.500
Pb 0.500 0.000 0.500
Cl 0.500 0.500 0.000

=====

# 5
Compound: MnPb2Cl
Source: the Alexandria database
Functional: PBE
Structure: optimized geometry

Results
- space-group type = No. 12

Cell: 5.579 5.579 5.767 Å, 96.52 96.52 35.86°
Atoms (fractional coordinates):
Mn 0.000 0.000 0.000
Pb 0.271 0.271 0.762
Pb 0.729 0.729 0.238
Cl 0.500 0.500 0.500

=====

# 6
Compound: MnPbCl6
Source: the Alexandria database
Functional: PBE
Structure: optimized geometry

Results
- space-group type = No. 15

Cell: 6.605 6.605 10.078 Å, 90.38 90.38 74.40°
Atoms (fractional coordinates):
Mn 0.000 0.500 0.000
Mn 0.500 0.000 0.500
Pb 0.018 0.982 0.750
Pb 0.982 0.018 0.250
Cl 0.135 0.549 0.202
Cl 0.154 0.201 0.500
Cl 0.201 0.154 0.000
Cl 0.261 0.604 0.898
Cl 0.396 0.739 0.602
Cl 0.451 0.865 0.298
Cl 0.549 0.135 0.702
Cl 0.604 0.261 0.398
Cl 0.739 0.396 0.102
Cl 0.799 0.846 0.000
Cl 0.846 0.799 0.500
Cl 0.865 0.451 0.798

=====

# 7
Compound: MnPbCl2
Source: the Alexandria database
Functional: PBE
Structure: optimized geometry

Results
- space-group type = No. 139

Cell: 5.434 5.434 5.434 Å, 128.81 128.81 75.32°
Atoms (fractional coordinates):
Mn 0.000 0.000 0.000
Pb 0.500 0.500 0.000
Cl 0.250 0.750 0.500
Cl 0.750 0.250 0.500

=====

# 8
Compound: MnPbCl2
Source: the Alexandria database
Functional: PBE
Structure: optimized geometry

Results
- space-group type = No. 47

Cell: 3.489 4.600 5.967 Å, 90.00 90.00 90.00°
Atoms (fractional coordinates):
Mn 0.000 0.000 0.000
Pb 0.500 0.000 0.500
Cl 0.000 0.500 0.500
Cl 0.500 0.500 0.000

=====

# 9
Compound: MnPb2Cl
Source: the Alexandria database
Functional: PBE
Structure: optimized geometry

Results
- space-group type = No. 225

Cell: 5.227 5.227 5.227 Å, 60.00 60.00 60.00°
Atoms (fractional coordinates):
Mn 0.000 0.000 0.000
Pb 0.250 0.250 0.250
Pb 0.750 0.750 0.750
Cl 0.500 0.500 0.500

=====

# 10
Compound: MnPb2Cl
Source: the Alexandria database
Functional: PBE
Structure: optimized geometry

Results
- space-group type = No. 216

Cell: 5.265 5.265 5.265 Å, 60.00 60.00 60.00°
Atoms (fractional coordinates):
Mn 0.000 0.000 0.000
Pb 0.250 0.250 0.250
Pb 0.500 0.500 0.500
Cl 0.750 0.750 0.750

=====

# 11
Compound: MnPb2Cl
Source: the Alexandria database
Functional: PBE
Structure: optimized geometry

Results
- space-group type = No. 10

Cell: 3.478 3.468 8.325 Å, 90.00 96.59 90.00°
Atoms (fractional coordinates):
Mn 0.000 0.000 0.000
Pb 0.440 0.500 0.777
Pb 0.560 0.500 0.223
Cl 0.000 0.000 0.500

=====

# 12
Compound: MnPb2Cl
Source: the Alexandria database
Functional: PBE
Structure: optimized geometry

Results
- space-group type = No. 47

Cell: 3.383 5.051 6.204 Å, 90.00 90.00 90.00°
Atoms (fractional coordinates):
Mn 0.000 0.000 0.000
Pb 0.000 0.500 0.500
Pb 0.500 0.500 0.000
Cl 0.500 0.000 0.500

=====

The records above give, respectively, energy relative to the elements, uncorrected values of 0.021, -0.907, 0.040, 0.027, 0.136, -0.943, -0.121, -0.232, 0.240, 0.200, 0.020, 0.084 eV per atom.
The records above give, respectively, total energy values of -4.587, -3.901, -4.568, -4.582, -4.472, -3.938, -4.264, -4.375, -4.369, -4.409, -4.588, -4.524 eV/atom.